## Nb2Cd2O7 (meta-GGA SCAN)

Data for a crystal of Nb2Cd2O7 relaxed with PBEsol.

Properties
Its total DFT energy (no corrections) is -17.7458 eV/atom.

abc: 10.4331 10.4331 10.4331
angles: 90.00 90.00 90.00
Space group Fd-3m (No. 227, origin choice 2)
One atom of each set of equivalent atoms:
Nb 0.0000 0.0000 0.0000 (multiplicity 16)
Cd 0.0000 0.0000 0.5000 (multiplicity 16)
O 0.0695 0.3750 0.3750 (multiplicity 48)
O 0.1250 0.1250 0.6250 (multiplicity 8)

## MoIr2 (meta-GGA SCAN)

Data for a crystal of MoIr2 relaxed with PBEsol.

Properties
For the formation enthalpy at 0 K, the calculation gives -1.248 eV per formula unit.

abc: 4.7587 4.3580 8.2879
angles: 90.00 90.00 90.00
Space group Pnma (No. 62)
One atom of each set of equivalent atoms:
Mo 0.1693 0.2500 0.1589 (multiplicity 4)
Ir 0.1603 0.2500 0.8295 (multiplicity 4)
Ir 0.1666 0.2500 0.4955 (multiplicity 4)

## Rb2AgAu3I8 (meta-GGA SCAN)

Data for a crystal of Rb2AgAu3I8 relaxed with PBEsol.

Properties
Its total DFT energy (no corrections) is -41.6024 eV/atom.

abc: 13.1436 7.5339 20.6556
angles: 90.00 104.30 90.00
Space group C2/c (No. 15)
One atom of each set of equivalent atoms:
Rb 0.2077 0.0169 0.0896 (multiplicity 8)
Ag 0.0000 0.4888 0.7500 (multiplicity 4)
Au 0.0000 0.5000 0.0000 (multiplicity 4)
Au 0.0944 0.0060 0.8049 (multiplicity 8)
I 0.0267 0.2680 0.3569 (multiplicity 8)
I 0.0513 0.2260 0.9337 (multiplicity 8)
I 0.1718 0.2676 0.7508 (multiplicity 8)
I 0.1985 0.4756 0.5742 (multiplicity 8)

## CuAgSb3 (meta-GGA SCAN)

Data for a crystal of CuAgSb3 relaxed with PBEsol.

Properties
Its total DFT energy (no corrections) is -30.6096 eV/atom.

abc: 5.2394 5.2394 5.2394
angles: 90.00 90.00 90.00
Space group Pm-3m (No. 221)
One atom of each set of equivalent atoms:
Cu 0.0000 0.0000 0.0000 (multiplicity 1)
Ag 0.5000 0.5000 0.5000 (multiplicity 1)
Sb 0.0000 0.5000 0.5000 (multiplicity 3)

## TaMnAs2Se (meta-GGA SCAN)

Data for a crystal of TaMnAs2Se relaxed with PBEsol.

Properties
Its total DFT energy (no corrections) is -28.7742 eV/atom.

abc: 4.9579 4.9579 4.9212
angles: 90.00 90.00 90.00
Space group P4/mmm (No. 123)
One atom of each set of equivalent atoms:
Ta 0.0000 0.0000 0.0000 (multiplicity 1)
Mn 0.5000 0.5000 0.5000 (multiplicity 1)
As 0.0000 0.5000 0.0000 (multiplicity 2)
Se 0.0000 0.0000 0.5000 (multiplicity 1)

## NiOsRh2 (meta-GGA SCAN)

Data for a crystal of NiOsRh2 relaxed with PBEsol.

Properties
For the formation enthalpy at 0 K, the calculation gives 0.377 eV per formula unit. The polymorph energy (0 for the lowest one) comes out at 46.7 meV per atom.

abc: 2.6615 2.6615 25.4557
angles: 90.00 90.00 120.00
Space group R-3m (No. 166, hexagonal axes)
One atom of each set of equivalent atoms:
Ni 0.0000 0.0000 0.0000 (multiplicity 3)
Os 0.0000 0.0000 0.5000 (multiplicity 3)
Rh 0.0000 0.0000 0.2517 (multiplicity 6)

## LaMnSi2 (meta-GGA SCAN)

Data for a crystal of LaMnSi2 relaxed with PBEsol.

Properties
Its total DFT energy (no corrections) is -20.4484 eV/atom.

abc: 6.0165 6.0245 4.2028
angles: 90.00 90.00 90.00
Space group Cmmm (No. 65)
One atom of each set of equivalent atoms:
La 0.0000 0.0000 0.0000 (multiplicity 2)
Mn 0.0000 0.5000 0.0000 (multiplicity 2)
Si 0.2500 0.2500 0.5000 (multiplicity 4)

## BaTlSCl2 (meta-GGA SCAN)

Data for a crystal of BaTlSCl2 relaxed with PBEsol.

Properties
The polymorph energy (0 for the lowest one) comes out at 0.0 meV per atom.

abc: 5.4074 5.4074 5.1734
angles: 90.00 90.00 90.00
Space group P4/mmm (No. 123)
One atom of each set of equivalent atoms:
Ba 0.0000 0.0000 0.0000 (multiplicity 1)
Tl 0.5000 0.5000 0.5000 (multiplicity 1)
S 0.5000 0.5000 0.0000 (multiplicity 1)
Cl 0.0000 0.5000 0.5000 (multiplicity 2)